# 1
Here is a relaxed Sm5Dy8Ho crystal from Alexandria. Energies are from PBE.

extended XYZ file:
```
14
Lattice="8.049 0.000 -2.582 -4.104 6.784 -2.935 0.159 0.000 8.452" Properties=species:S:1:pos:R:3 pbc="T T T"
Sm -1.046 2.185 0.112
Sm 3.314 6.084 -3.283
Sm 3.871 4.599 1.909
Sm 4.104 0.000 2.935
Sm 2.069 0.700 7.132
Dy -1.676 4.999 -1.946
Dy 7.172 0.608 2.935
Dy 4.892 1.726 0.199
Dy 3.873 2.684 4.892
Dy 1.777 4.099 -0.851
Dy 0.992 6.176 2.904
Dy 1.720 1.784 1.978
Dy -2.334 5.058 1.630
Ho 0.079 3.392 4.226
```

Results
Its calculated total energy is -4.40 eV/atom. Its density is 7.93 Mg/m³. As for the space group: I-4, No. 82. Its energy of formation is 0.247 eV/atom.

=====

# 2
Here is a relaxed Sm4Dy7Ho crystal from Alexandria. Energies are from PBE.

extended XYZ file:
```
12
Lattice="-2.973 -0.802 5.045 8.152 0.083 8.278 -2.139 5.572 3.087" Properties=species:S:1:pos:R:3 pbc="T T T"
Sm -1.146 2.272 6.610
Sm 4.187 2.582 9.801
Sm 1.498 3.825 11.877
Sm 1.542 1.029 4.534
Dy 4.118 2.230 13.167
Dy -1.078 2.623 3.244
Dy 5.002 1.014 6.571
Dy -1.962 3.839 9.840
Dy 1.313 4.021 8.336
Dy -1.486 -0.401 2.523
Dy 1.728 0.832 8.074
Ho 0.000 0.000 0.000
```

Results
Its calculated total energy is -4.36 eV/atom. Its density is 7.89 Mg/m³. As for the space group: C2/m, No. 12. The calculation puts the energy above the most stable polymorph in this dataset at 188 meV/atom. Its energy of formation is 0.276 eV/atom.

=====

# 3
Here is a relaxed Sm5Dy5Ho crystal from Alexandria. Energies are from PBE.

extended XYZ file:
```
11
Lattice="6.095 0.000 0.000 -3.048 5.279 0.000 0.000 0.000 11.646" Properties=species:S:1:pos:R:3 pbc="T T T"
Sm 3.048 1.760 1.800
Sm 3.048 1.760 9.845
Sm 0.000 3.519 3.688
Sm 0.000 3.519 7.957
Sm 0.000 0.000 0.000
Dy 1.531 0.884 5.823
Dy 0.000 0.000 3.088
Dy 3.048 3.511 5.823
Dy 4.564 0.884 5.823
Dy 0.000 0.000 8.557
Ho 0.000 3.519 0.000
```

Results
Its calculated total energy is -4.35 eV/atom. Its density is 7.66 Mg/m³. As for the space group: P-6m2, No. 187. Its energy of formation is 0.308 eV/atom.

=====

# 4
Here is a relaxed Sm5Dy4Ho3 crystal from Alexandria. Energies are from PBE.

extended XYZ file:
```
12
Lattice="5.896 0.000 0.000 2.948 7.623 -2.759 2.948 -0.876 9.147" Properties=species:S:1:pos:R:3 pbc="T T T"
Sm 8.844 6.546 4.683
Sm 5.896 3.374 3.194
Sm 2.948 3.420 -0.231
Sm 8.844 3.327 6.620
Sm 2.948 0.201 1.706
Dy 5.896 1.640 -0.057
Dy 2.948 -0.147 5.542
Dy 8.844 6.894 0.846
Dy 5.896 5.107 6.445
Ho 5.896 5.010 0.585
Ho 2.948 3.374 3.194
Ho 5.896 1.737 5.804
```

Results
Its calculated total energy is -4.42 eV/atom. Its density is 7.94 Mg/m³. As for the space group: C2/m, No. 12. The calculation puts the energy above the most stable polymorph in this dataset at 214 meV/atom. Its energy of formation is 0.229 eV/atom.

=====

# 5
Here is a relaxed Sm12Dy7Ho crystal from Alexandria. Energies are from PBE.

extended XYZ file:
```
20
Lattice="0.156 -3.103 -5.331 -1.203 -8.695 7.405 -9.207 6.637 -1.751" Properties=species:S:1:pos:R:3 pbc="T T T"
Sm -2.289 -4.215 3.576
Sm -5.602 2.119 -0.206
Sm -0.693 -7.440 1.653
Sm -3.198 1.063 -2.817
Sm -5.817 -1.248 -0.633
Sm -6.720 -1.507 3.336
Sm -3.534 -3.654 -3.013
Sm -4.438 -3.913 0.956
Sm -7.056 -6.223 3.140
Sm -9.561 2.279 -1.330
Sm -4.652 -7.280 0.529
Sm -7.965 -0.946 -3.252
Dy -0.897 -6.956 4.919
Dy -2.124 -1.092 -5.085
Dy -7.766 -3.499 0.912
Dy 0.078 -1.551 -2.666
Dy -2.488 -1.662 -0.589
Dy -8.131 -4.068 5.408
Dy -9.357 1.796 -4.596
Ho 0.000 0.000 0.000
```

Results
Its calculated total energy is -4.42 eV/atom. Its density is 7.56 Mg/m³. As for the space group: R-3, No. 148. The calculation puts the energy above the most stable polymorph in this dataset at 0 meV/atom. Its energy of formation is 0.251 eV/atom.

=====

# 6
Here is a relaxed Sm3Dy3Ho2 crystal from Alexandria. Energies are from PBE.

extended XYZ file:
```
8
Lattice="5.722 0.000 0.000 0.000 5.996 -0.278 -2.861 -2.753 7.708" Properties=species:S:1:pos:R:3 pbc="T T T"
Sm 0.000 3.541 5.386
Sm 2.861 2.998 -0.139
Sm 2.861 -0.298 2.044
Dy 2.861 -0.142 5.579
Dy 0.000 3.385 1.851
Dy 0.000 0.000 0.000
Ho 2.861 2.714 3.661
Ho 0.000 0.529 3.769
```

Results
Its calculated total energy is -4.55 eV/atom. Its density is 8.10 Mg/m³. As for the space group: C2/m, No. 12. Its energy of formation is 0.089 eV/atom.